VASP calculation (PBE+U) on crystalline ErVClO4 at its relaxed geometry.

Crystal system: monoclinic
Calculated volume (Å³ per atom): 17.62
DFT total energy (eV/cell): -98.68

Cell: 6.531 6.531 6.779 Å, 78.86 78.86 61.08°
Atoms (fractional coordinates):
V1 0.357 0.357 0.280
Er1 0.289 0.289 0.857
Cl1 0.025 0.025 0.132
Er2 0.711 0.711 0.143
Cl2 0.975 0.975 0.868
O1 0.106 0.504 0.146
O2 0.514 0.514 0.240
O3 0.288 0.288 0.531
O4 0.486 0.486 0.760
V2 0.643 0.643 0.720
O5 0.712 0.712 0.469
O6 0.496 0.894 0.854
O7 0.504 0.106 0.146
O8 0.894 0.496 0.854